# TaSbS3, optimized geometry, DFT PBE
data_TaSbS3
_cell_length_a 4.792
_cell_length_b 4.792
_cell_length_c 4.792
_cell_angle_alpha 90.00
_cell_angle_beta 90.00
_cell_angle_gamma 90.00
_space_group_name_H-M_alt 'P m -3 m'
_space_group_IT_number 221
_space_group_name_Hall '-P 4 2 3'
loop_
_atom_site_label
_atom_site_fract_x
_atom_site_fract_y
_atom_site_fract_z
_atom_site_occupancy
Ta1 0.000 0.000 0.000 1
Sb1 0.500 0.500 0.500 1
S1 0.000 0.000 0.500 1
# offset from the most stable computed form: 0.00 eV/f.u.